An optimized crystal structure of ErMg2Ti, computed with PBE.

```
ErMg2Ti
1.0
3.5258 0.0000 0.0000
0.0000 3.5258 0.0000
0.0000 0.0000 7.2809
Er Mg Ti
1 2 1
Direct
0.0000 0.0000 0.0000
0.5000 0.5000 0.2822
0.5000 0.5000 0.7178
0.0000 0.0000 0.5000
```

* total magnetization: 0.02 Bohr magnetons per cell
* DFT formation energy: 0.132 eV/atom
* mass density: 4.84 g cm⁻³
* VASP energy: -15.119 eV per cell

***

An optimized crystal structure of Er2MgTi, computed with PBE.

```
Er2MgTi
1.0
1.6532 0.9545 10.7140
-1.6532 0.9545 10.7140
0.0000 -1.9089 10.7140
Er Mg Ti
2 1 1
Direct
0.2437 0.2437 0.2437
0.7563 0.7563 0.7563
0.0000 0.0000 0.0000
0.5000 0.5000 0.5000
```

* total magnetization: 0.01 Bohr magnetons per cell
* DFT formation energy: 0.143 eV/atom
* mass density: 6.66 g cm⁻³
* VASP energy: -18.044 eV per cell

***

An optimized crystal structure of Er2MgTi, computed with PBE.

```
Er2MgTi
1.0
3.3719 0.0000 0.0000
0.0000 3.3719 0.0000
0.0000 0.0000 8.8626
Er Mg Ti
2 1 1
Direct
0.0000 0.0000 0.2305
0.0000 0.0000 0.7695
0.5000 0.5000 0.5000
0.5000 0.5000 0.0000
```

* total magnetization: 0.00 Bohr magnetons per cell
* DFT formation energy: 0.057 eV/atom
* mass density: 6.70 g cm⁻³
* VASP energy: -18.388 eV per cell

***

An optimized crystal structure of Er2MgTi, computed with PBE.

```
Er2MgTi
1.0
5.3544 0.0000 0.0000
0.0000 5.3544 0.0000
0.0000 0.0000 3.5429
Er Mg Ti
2 1 1
Direct
0.0000 0.5000 0.0000
0.5000 0.0000 0.0000
0.0000 0.0000 0.5000
0.5000 0.5000 0.5000
```

* total magnetization: 2.40 Bohr magnetons per cell
* DFT formation energy: 0.148 eV/atom
* mass density: 6.65 g cm⁻³
* VASP energy: -18.023 eV per cell

***

An optimized crystal structure of ErMgTi, computed with PBE.

```
ErMgTi
1.0
-1.6338 1.6338 6.5144
1.6338 -1.6338 6.5144
1.6338 1.6338 -6.5144
Er Mg Ti
1 1 1
Direct
0.0000 0.0000 0.0000
0.3087 0.3087 0.0000
0.6579 0.6579 0.0000
```

* total magnetization: 0.00 Bohr magnetons per cell
* DFT formation energy: 0.109 eV/atom
* mass density: 5.72 g cm⁻³
* VASP energy: -13.724 eV per cell

***

An optimized crystal structure of Er2MgTi, computed with PBE.

```
Er2MgTi
1.0
0.0000 3.6886 3.6886
3.6886 0.0000 3.6886
3.6886 3.6886 0.0000
Er Mg Ti
2 1 1
Direct
0.2500 0.2500 0.2500
0.7500 0.7500 0.7500
0.0000 0.0000 0.0000
0.5000 0.5000 0.5000
```

* total magnetization: 2.23 Bohr magnetons per cell
* DFT formation energy: 0.146 eV/atom
* mass density: 6.73 g cm⁻³
* VASP energy: -18.033 eV per cell

***

An optimized crystal structure of ErMgTiTl, computed with PBE.

```
ErMgTiTl
1.0
0.0000 3.5821 3.5821
3.5821 0.0000 3.5821
3.5821 3.5821 0.0000
Er Mg Ti Tl
1 1 1 1
Direct
0.0000 0.0000 0.0000
0.7500 0.7500 0.7500
0.5000 0.5000 0.5000
0.2500 0.2500 0.2500
```

* total magnetization: 1.77 Bohr magnetons per cell
* DFT formation energy: 0.041 eV/atom
* mass density: 8.02 g cm⁻³
* VASP energy: -16.256 eV per cell

***

An optimized crystal structure of ErTmMgTi, computed with PBE.

```
ErTmMgTi
1.0
0.0000 3.6828 3.6828
3.6828 0.0000 3.6828
3.6828 3.6828 0.0000
Er Tm Mg Ti
1 1 1 1
Direct
0.0000 0.0000 0.0000
0.5000 0.5000 0.5000
0.2500 0.2500 0.2500
0.7500 0.7500 0.7500
```

* total magnetization: 2.26 Bohr magnetons per cell
* DFT formation energy: 0.147 eV/atom
* mass density: 6.79 g cm⁻³
* VASP energy: -17.936 eV per cell